(1)
The following is a PBE calculation of a geometry-optimized K2RbSrAg structure, from the Alexandria database.

## Properties
DOS(E_F) (states/eV per cell): 3.7
Calculated volume (Å³ per atom): 59.12
Calculated formation energy (eV per atom): 0.0531

Cell lengths 6.7907, 6.7907, 6.4105 Å; angles 90.00, 90.00, 90.00 degrees
With the nearest neighbours (Å) after each atom.
Space group P4/mmm (No. 123)
Unique sites:
K (0.0000, 0.5000, 0.0000) (multiplicity 2)  2 Ag 3.40
Rb (0.0000, 0.0000, 0.5000) (multiplicity 1)  8 K 4.67, 4 Sr 4.80
Sr (0.5000, 0.5000, 0.5000) (multiplicity 1)  2 Ag 3.21
Ag (0.5000, 0.5000, 0.0000) (multiplicity 1)  2 Sr 3.21, 4 K 3.40

(2)
The following is a PBE calculation of a geometry-optimized KRb2SrAg structure, from the Alexandria database.

## Properties
DOS(E_F) (states/eV per cell): 4.0
Calculated volume (Å³ per atom): 63.14
Calculated formation energy (eV per atom): 0.0702

Cell lengths 7.0024, 7.0024, 6.4387 Å; angles 90.00, 90.00, 90.00 degrees
With the nearest neighbours (Å) after each atom.
Space group P4/mmm (No. 123)
Unique sites:
K (0.0000, 0.0000, 0.0000) (multiplicity 1)  8 Rb 4.76, 4 Sr 4.95
Rb (0.0000, 0.5000, 0.5000) (multiplicity 2)  2 Ag 3.50
Sr (0.5000, 0.5000, 0.0000) (multiplicity 1)  2 Ag 3.22
Ag (0.5000, 0.5000, 0.5000) (multiplicity 1)  2 Sr 3.22, 4 Rb 3.50